1.
{
  "formula": "Pm2Dy5Y",
  "functional": "PBE",
  "state": "relaxed",
  "dos_at_fermi_per_ev_cell": 21.22,
  "polymorph_energy_mev_per_atom": 0,
  "magmom_total_mub_per_fu": 0.000,
  "spacegroup": "No. 55",
  "formation_energy_ev_per_atom": 0.017,
  "lattice": [[5.0474, 0.0000, 0.0000], [0.0000, 7.1506, 0.0000], [0.0000, 0.0000, 14.3011]],
  "species": ["Pm", "Pm", "Pm", "Pm", "Dy", "Dy", "Dy", "Dy", "Dy", "Dy", "Dy", "Dy", "Dy", "Dy", "Y", "Y"],
  "frac_coords": [[0.5000, 0.2502, 0.6253], [0.5000, 0.7498, 0.3747], [0.5000, 0.2498, 0.1253], [0.5000, 0.7502, 0.8747], [0.0000, 0.0000, 0.0000], [0.0000, 0.5000, 0.5000], [0.0000, 0.4995, 0.7495], [0.0000, 0.5005, 0.2505], [0.0000, 0.0005, 0.2495], [0.0000, 0.9995, 0.7505], [0.5000, 0.2490, 0.8745], [0.5000, 0.7510, 0.1255], [0.5000, 0.2510, 0.3745], [0.5000, 0.7490, 0.6255], [0.0000, 0.0000, 0.5000], [0.0000, 0.5000, 0.0000]]
}


2.
{
  "formula": "Pm3DyY6",
  "functional": "PBE",
  "state": "relaxed",
  "dos_at_fermi_per_ev_cell": 27.97,
  "polymorph_energy_mev_per_atom": 0,
  "magmom_total_mub_per_fu": 0.000,
  "spacegroup": "No. 36",
  "formation_energy_ev_per_atom": 0.142,
  "lattice": [[6.4187, 0.0000, 0.0000], [0.0000, 10.8058, -1.6042], [0.0000, -3.9750, 10.1753]],
  "species": ["Pm", "Pm", "Pm", "Pm", "Pm", "Pm", "Dy", "Dy", "Y", "Y", "Y", "Y", "Y", "Y", "Y", "Y", "Y", "Y", "Y", "Y"],
  "frac_coords": [[0.4593, 0.9364, 0.7090], [0.9593, 0.7090, 0.9364], [0.0686, 0.3869, 0.6131], [0.5686, 0.6131, 0.3869], [0.9593, 0.0636, 0.2910], [0.4593, 0.2910, 0.0636], [0.1371, 0.1944, 0.8056], [0.6371, 0.8056, 0.1944], [0.0500, 0.7114, 0.6227], [0.5500, 0.6227, 0.7114], [0.3698, 0.5291, 0.9459], [0.8698, 0.9459, 0.5291], [0.3645, 0.9597, 0.0403], [0.6569, 0.2686, 0.7314], [0.1569, 0.7314, 0.2686], [0.8645, 0.0403, 0.9597], [0.3698, 0.0541, 0.4709], [0.8698, 0.4709, 0.0541], [0.0500, 0.3773, 0.2886], [0.5500, 0.2886, 0.3773]]
}


3.
{
  "formula": "Pm3Dy2Y",
  "functional": "PBE",
  "state": "relaxed",
  "dos_at_fermi_per_ev_cell": 19.99,
  "polymorph_energy_mev_per_atom": 32,
  "magmom_total_mub_per_fu": 0.000,
  "spacegroup": "No. 12",
  "formation_energy_ev_per_atom": 0.104,
  "lattice": [[3.4982, 0.0000, 0.6290], [1.5706, 6.5297, 1.3072], [-1.3484, 0.0934, 17.5431]],
  "species": ["Pm", "Pm", "Pm", "Pm", "Pm", "Pm", "Dy", "Dy", "Dy", "Dy", "Y", "Y"],
  "frac_coords": [[0.0670, 0.0317, 0.8342], [0.9330, 0.9683, 0.1658], [0.6276, 0.7341, 0.0107], [0.3724, 0.2659, 0.9893], [0.7317, 0.8729, 0.6638], [0.2683, 0.1271, 0.3362], [0.8014, 0.5624, 0.8349], [0.1986, 0.4376, 0.1651], [0.6329, 0.2353, 0.4990], [0.3671, 0.7647, 0.5010], [0.4587, 0.4006, 0.6821], [0.5413, 0.5994, 0.3179]]
}


4.
{
  "formula": "Pm3Dy3Y",
  "functional": "PBE",
  "state": "relaxed",
  "dos_at_fermi_per_ev_cell": 21.27,
  "polymorph_energy_mev_per_atom": 0,
  "magmom_total_mub_per_fu": 0.001,
  "spacegroup": "No. 148",
  "formation_energy_ev_per_atom": 0.160,
  "lattice": [[-5.4966, 1.4150, 2.5624], [-4.7823, -3.9566, -0.5063], [0.6184, -7.3025, 12.9263]],
  "species": ["Pm", "Pm", "Pm", "Pm", "Pm", "Pm", "Dy", "Dy", "Dy", "Dy", "Dy", "Dy", "Y", "Y"],
  "frac_coords": [[0.1997, 0.8685, 0.3945], [0.5374, 0.1997, 0.3945], [0.8685, 0.5374, 0.3945], [0.1315, 0.4626, 0.6055], [0.4626, 0.8003, 0.6055], [0.8003, 0.1315, 0.6055], [0.9348, 0.2682, 0.1958], [0.6012, 0.9348, 0.1958], [0.2682, 0.6012, 0.1958], [0.7318, 0.3988, 0.8042], [0.3988, 0.0652, 0.8042], [0.0652, 0.7318, 0.8042], [0.6667, 0.6667, 0.9999], [0.3333, 0.3333, 0.0001]]
}


5.
{
  "formula": "Pm8Dy6Y",
  "functional": "PBE",
  "state": "relaxed",
  "dos_at_fermi_per_ev_cell": 22.94,
  "polymorph_energy_mev_per_atom": 0,
  "magmom_total_mub_per_fu": 0.000,
  "spacegroup": "No. 148",
  "formation_energy_ev_per_atom": 0.125,
  "lattice": [[9.1324, 0.0000, 0.0000], [4.5662, 7.9089, 0.0000], [4.5662, 2.6363, 6.9625]],
  "species": ["Pm", "Pm", "Pm", "Pm", "Pm", "Pm", "Pm", "Pm", "Dy", "Dy", "Dy", "Dy", "Dy", "Dy", "Y"],
  "frac_coords": [[0.2506, 0.2823, 0.5791], [0.7177, 0.1120, 0.4209], [0.1120, 0.7494, 0.4209], [0.5776, 0.5776, 0.2673], [0.4224, 0.4224, 0.7327], [0.8880, 0.2506, 0.5791], [0.2823, 0.8880, 0.5791], [0.7494, 0.7177, 0.4209], [0.4611, 0.9021, 0.8820], [0.0979, 0.2452, 0.1180], [0.2452, 0.5389, 0.1180], [0.7548, 0.4611, 0.8820], [0.9021, 0.7548, 0.8820], [0.5389, 0.0979, 0.1180], [0.0000, 0.0000, 0.0000]]
}


6.
{
  "formula": "Pm2Dy5Y5",
  "functional": "PBE",
  "state": "relaxed",
  "dos_at_fermi_per_ev_cell": 17.88,
  "magmom_total_mub_per_fu": 0.000,
  "spacegroup": "No. 12",
  "formation_energy_ev_per_atom": 0.020,
  "lattice": [[4.9339, 0.0000, 1.0753], [2.0491, 7.3159, 2.4549], [0.2481, -0.1825, 10.7189]],
  "species": ["Pm", "Pm", "Dy", "Dy", "Dy", "Dy", "Dy", "Y", "Y", "Y", "Y", "Y"],
  "frac_coords": [[0.9167, 0.4176, 0.7491], [0.0833, 0.5824, 0.2509], [0.8324, 0.8348, 0.5004], [0.2493, 0.7517, 0.7497], [0.7507, 0.2483, 0.2503], [0.1676, 0.1652, 0.4996], [0.0000, 0.0000, 0.0000], [0.5000, 0.5000, 0.5000], [0.3336, 0.3326, 0.0002], [0.4157, 0.9181, 0.2504], [0.5843, 0.0819, 0.7496], [0.6664, 0.6674, 0.9998]]
}


7.
{
  "formula": "PmDy12Y7",
  "functional": "PBE",
  "state": "relaxed",
  "dos_at_fermi_per_ev_cell": 37.51,
  "polymorph_energy_mev_per_atom": 0,
  "magmom_total_mub_per_fu": 0.000,
  "spacegroup": "No. 148",
  "formation_energy_ev_per_atom": 0.248,
  "lattice": [[8.4423, 1.2455, 1.8694], [-1.1511, 8.4557, 1.8694], [-1.1511, -1.5316, 8.5233]],
  "species": ["Pm", "Dy", "Dy", "Dy", "Dy", "Dy", "Dy", "Dy", "Dy", "Dy", "Dy", "Dy", "Dy", "Y", "Y", "Y", "Y", "Y", "Y", "Y"],
  "frac_coords": [[0.0000, 0.0000, 0.0000], [0.7688, 0.2422, 0.6462], [0.7578, 0.3538, 0.2312], [0.4295, 0.1038, 0.3474], [0.8962, 0.6526, 0.5705], [0.3538, 0.2312, 0.7578], [0.6526, 0.5705, 0.8962], [0.3474, 0.4295, 0.1038], [0.6462, 0.7688, 0.2422], [0.1038, 0.3474, 0.4295], [0.5705, 0.8962, 0.6526], [0.2422, 0.6462, 0.7688], [0.2312, 0.7578, 0.3538], [0.9967, 0.6343, 0.1200], [0.3657, 0.8800, 0.0033], [0.8800, 0.0033, 0.3657], [0.5000, 0.5000, 0.5000], [0.1200, 0.9967, 0.6343], [0.6343, 0.1200, 0.9967], [0.0033, 0.3657, 0.8800]]
}


8.
{
  "formula": "PmDy4Y10",
  "functional": "PBE",
  "state": "relaxed",
  "dos_at_fermi_per_ev_cell": 19.53,
  "magmom_total_mub_per_fu": 0.000,
  "spacegroup": "No. 87",
  "formation_energy_ev_per_atom": 0.740,
  "lattice": [[2.1026, -3.7054, 6.4209], [6.6753, -6.5465, -1.3399], [7.1506, 4.0752, 4.6340]],
  "species": ["Pm", "Dy", "Dy", "Dy", "Dy", "Y", "Y", "Y", "Y", "Y", "Y", "Y", "Y", "Y", "Y"],
  "frac_coords": [[0.0000, 0.0000, 0.0000], [0.4006, 0.7988, 0.4000], [0.8006, 0.6000, 0.7988], [0.1994, 0.4000, 0.2012], [0.5994, 0.2012, 0.6000], [0.2500, 0.5000, 0.5000], [0.6480, 0.3016, 0.9001], [0.0504, 0.0999, 0.3016], [0.4519, 0.9001, 0.6984], [0.8497, 0.6984, 0.0999], [0.3520, 0.6984, 0.0999], [0.7500, 0.5000, 0.5000], [0.1503, 0.3016, 0.9001], [0.5481, 0.0999, 0.3016], [0.9496, 0.9001, 0.6984]]
}